Material: SnP2OsS
Method: DFT, PBE
State: optimized geometry

abc: 4.963 4.963 4.791
angles: 90.00 90.00 90.00
Positions (direct):
P1 0.000 0.500 0.000
P2 0.500 0.000 0.000
S1 0.000 0.000 0.500
Os1 0.500 0.500 0.500
Sn1 0.000 0.000 0.000

**ΔE to the lowest computed polymorph**: 1.498 eV/atom
**Raw formation energy**: 1921 meV per atom
**M_tot**: 2.28 Bohr magnetons per cell